(1)
VASP calculation (PBEsol) on Ga2Te3 after structural relaxation.

```
Ga2Te3
1.0
4.0309 0.0000 0.0000
2.0154 3.4908 0.0000
2.0154 1.1636 9.0440
Ga Te
2 3
Direct
0.8068 0.8068 0.5797
0.1932 0.1932 0.4203
0.0000 0.0000 0.0000
0.5872 0.5872 0.2384
0.4128 0.4128 0.7616
```

Results
total magnetization	0.00	μB/f.u.
uncorrected energy	-3.468	eV/atom
E_form (uncorrected)	-16	meV per atom
density of states at the Fermi level	2.73	states/eV per cell

(2)
VASP calculation (PBEsol) on GaTe after structural relaxation.

```
GaTe
1.0
-2.9860 -1.5481 -2.3087
-0.6930 -4.5739 7.5677
-5.7536 8.4922 1.7470
Te Ga
6 6
Direct
0.1574 0.3148 0.0502
0.8426 0.6852 0.9498
0.1569 0.3139 0.6799
0.8431 0.6861 0.3201
0.5392 0.0785 0.3288
0.4608 0.9215 0.6712
0.1373 0.2745 0.4198
0.8627 0.7255 0.5802
0.2415 0.4830 0.3004
0.7585 0.5170 0.6996
0.5632 0.1265 0.0828
0.4368 0.8735 0.9172
```

Results
total magnetization	0.00	μB/f.u.
uncorrected energy	-3.751	eV/atom
E_form (uncorrected)	-318	meV per atom

(3)
VASP calculation (PBEsol) on TlGaTe3 after structural relaxation.

```
TlGaTe3
1.0
-3.7488 3.8122 0.4486
-1.6153 -0.9979 -5.0182
-3.4821 -3.6413 1.8449
Tl Te Ga
1 3 1
Direct
0.5000 0.5000 0.5000
0.0000 0.5000 0.0000
0.0000 0.0000 0.5000
0.5000 0.0000 0.0000
0.0000 0.0000 0.0000
```

Results
total magnetization	0.00	μB/f.u.
uncorrected energy	-3.202	eV/atom
E_form (uncorrected)	108	meV per atom
density of states at the Fermi level	3.36	states/eV per cell

(4)
VASP calculation (PBEsol) on TlGaTe2 after structural relaxation.

```
TlGaTe2
1.0
-4.0562 2.5755 -5.0524
0.1056 -6.9714 -0.0015
-2.3307 1.6647 6.3568
Tl Te Ga
2 4 2
Direct
0.0000 0.0000 0.0000
0.5000 0.7500 0.2500
0.0717 0.8750 0.4467
0.9283 0.3750 0.8033
0.4283 0.5533 0.6250
0.5717 0.1967 0.1250
0.0000 0.5000 0.5000
0.5000 0.2500 0.7500
```

Results
total magnetization	0.00	μB/f.u.
uncorrected energy	-3.500	eV/atom
E_form (uncorrected)	-244	meV per atom